[1]
First-principles (PBE) data for a geometry-optimized Sm3Tm2Sc structure, as listed in Alexandria via LeMat-Bulk.

Structure (CIF):
```
data_Sm3Tm2Sc
_space_group_name_H-M_alt 'P -1'
_space_group_IT_number 2
_cell_length_a 6.089
_cell_length_b 7.867
_cell_length_c 8.640
_cell_angle_alpha 68.38
_cell_angle_beta 89.73
_cell_angle_gamma 74.95
loop_
_space_group_symop_operation_xyz
'x,y,z'
'-x,-y,-z'
loop_
_atom_site_label
_atom_site_fract_x
_atom_site_fract_y
_atom_site_fract_z
Sm1 0.041 0.134 0.287
Sm2 0.292 0.874 0.042
Sm3 0.373 0.128 0.626
Tm1 0.207 0.621 0.460
Tm2 0.454 0.382 0.205
Sc1 0.123 0.379 0.875
```

Summary:
- Energy: -58.4 eV per cell
- Offset from the most stable computed form: 12 meV per atom

***

[2]
First-principles (PBE) data for a geometry-optimized Ba2CoNi structure, as listed in Alexandria via LeMat-Bulk.

Structure (CIF):
```
data_Ba2CoNi
_space_group_name_H-M_alt 'I -4 m 2'
_space_group_IT_number 119
_space_group_name_Hall 'I -4 -2'
_cell_length_a 4.443
_cell_length_b 4.443
_cell_length_c 11.431
_cell_angle_alpha 90.00
_cell_angle_beta 90.00
_cell_angle_gamma 90.00
loop_
_atom_site_label
_atom_site_fract_x
_atom_site_fract_y
_atom_site_fract_z
Ba1 0.000 0.000 0.000
Ba2 0.000 0.500 0.250
Co1 0.000 0.000 0.500
Ni1 0.000 0.500 0.750
```

Summary:
- Energy: -28.2 eV per cell
- Offset from the most stable computed form: 453 meV per atom